P.
The following is a DFT calculation (PBE) of crystalline Al2VHRh at its relaxed geometry.

Lattice parameters (Å, degrees): 4.199 4.199 3.350 90.00 90.00 90.00
Each line ends with the local moment (μB).
Element x y z (fractional)
Rh  0.500  0.500  0.500  0.05
Al  0.000  0.500  0.000  0.00
Al  0.500  0.000  0.000  0.00
H  0.000  0.000  0.000  -0.01
V  0.000  0.000  0.500  1.54

## Properties
SG   No. 123

Q.
The following is a DFT calculation (PBE) of crystalline Al2VHRh at its relaxed geometry.

Lattice parameters (Å, degrees): 4.954 4.313 4.954 90.00 90.00 90.00
Each line ends with the local moment (μB).
Element x y z (fractional)
Al  0.000  0.000  0.500  0.01
Al  0.500  0.000  0.000  0.02
Rh  0.000  0.500  0.000  0.04
H  0.500  0.500  0.500  0.27
V  0.000  0.000  0.000  0.75

## Properties
SG   No. 123

Last place for stability: Q